# 1
Below is an optimized crystal structure of U2GeC, with properties calculated at the PBE-GGA level.

Properties
The raw total energy comes out at -110.90 eV per cell. Its density of states at the Fermi level is 21.54 states/eV/cell.

Cell: 3.1348 3.1348 24.6772 Å, 90.00 90.00 120.00°
With the nearest neighbours (Å) after each atom.
Space group R-3m (No. 166, hexagonal axes)
Symmetry-distinct sites (fractional):
U 0.0000 0.0000 0.2290 [6 per cell]  3 C 2.37
Ge 0.0000 0.0000 0.0000 [3 per cell]  6 Ge 3.13, 6 U 3.15
C 0.0000 0.0000 0.5000 [3 per cell]  6 U 2.37

# 2
Below is an optimized crystal structure of Nd2DyNi, with properties calculated at the PBE-GGA level.

Properties
Its relative energy among the computed polymorphs is 134 meV/atom. Its density of states at the Fermi level is 7.12 states/eV/cell.

Cell: 3.5641 3.5641 8.7261 Å, 90.00 90.00 90.00°
With the nearest neighbours (Å) after each atom.
Space group P4/mmm (No. 123)
Symmetry-distinct sites (fractional):
Nd 0.0000 0.0000 0.1922 [2 per cell]  4 Ni 3.03, 1 Nd 3.35
Dy 0.5000 0.5000 0.5000 [1 per cell]  4 Dy 3.56, 8 Nd 3.68
Ni 0.5000 0.5000 0.0000 [1 per cell]  8 Nd 3.03

# 3
Below is an optimized crystal structure of Dy2HoTmRh4, with properties calculated at the PBE-GGA level.

Properties
The raw total energy comes out at -164.87 eV per cell. Its density of states at the Fermi level is 9.70 states/eV/cell.

Cell: 4.8197 4.8197 23.6393 Å, 90.00 90.00 120.00°
With the nearest neighbours (Å) after each atom.
Space group R-3m (No. 166, hexagonal axes)
Symmetry-distinct sites (fractional):
Dy 0.0000 0.0000 0.2503 [6 per cell]  8 Rh 2.94-2.97
Ho 0.0000 0.0000 0.5000 [3 per cell]  8 Rh 2.96-2.97
Tm 0.0000 0.0000 0.0000 [3 per cell]  8 Rh 2.94-2.95
Rh 0.0000 0.0000 0.1246 [6 per cell]  1 Tm 2.94, 4 Dy 2.95-2.97, 3 Ho 2.96
Rh 0.0000 0.0000 0.3745 [6 per cell]  4 Dy 2.94-2.95, 3 Tm 2.95, 1 Ho 2.97

# 4
Below is an optimized crystal structure of Tl3NiAg2Br9, with properties calculated at the PBE-GGA level.

Properties
The value obtained for the raw formation energy is -7.29 eV per formula unit. Its density of states at the Fermi level is 3.30 states/eV/cell.

Cell: 7.5568 7.5568 9.0587 Å, 90.00 90.00 120.00°
With the nearest neighbours (Å) after each atom.
Space group P-3m1 (No. 164)
Symmetry-distinct sites (fractional):
Tl 0.0000 0.0000 0.0000 [1 per cell]  12 Br 3.70-3.78
Tl 0.3333 0.6667 0.6983 [2 per cell]  9 Br 3.50-3.80
Ni 0.0000 0.0000 0.5000 [1 per cell]  6 Br 2.47
Ag 0.3333 0.6667 0.1806 [2 per cell]  6 Br 2.73-2.76
Br 0.0000 0.5000 0.0000 [3 per cell]  2 Ag 2.73
Br 0.1542 0.3083 0.3422 [6 per cell]  1 Ni 2.47, 1 Ag 2.76

# 5
Below is an optimized crystal structure of La2DyAl, with properties calculated at the PBE-GGA level.

Properties
Its relative energy among the computed polymorphs is 115 meV/atom. Its density of states at the Fermi level is 25.15 states/eV/cell.

Cell: 7.8330 7.8330 7.8330 Å, 90.00 90.00 90.00°
With the nearest neighbours (Å) after each atom.
Space group Fm-3m (No. 225)
Symmetry-distinct sites (fractional):
La 0.2500 0.2500 0.2500 [8 per cell]  4 Dy 3.39, 4 Al 3.39
Dy 0.0000 0.0000 0.0000 [4 per cell]  8 La 3.39
Al 0.0000 0.0000 0.5000 [4 per cell]  8 La 3.39

# 6
Below is an optimized crystal structure of ScSbAu2C, with properties calculated at the PBE-GGA level.

Properties
The value obtained for the raw formation energy is 5.06 eV per formula unit. Its density of states at the Fermi level is 3.37 states/eV/cell.

Cell: 5.2062 5.2062 4.1921 Å, 90.00 90.00 90.00°
With the nearest neighbours (Å) after each atom.
Space group P4/mmm (No. 123)
Symmetry-distinct sites (fractional):
Sc 0.0000 0.0000 0.0000 [1 per cell]  8 Au 3.34, 4 C 3.68
Sb 0.5000 0.5000 0.5000 [1 per cell]  2 C 2.10
Au 0.0000 0.5000 0.5000 [2 per cell]  2 Sb 2.60
C 0.5000 0.5000 0.0000 [1 per cell]  2 Sb 2.10

# 7
Below is an optimized crystal structure of MgSiAs2, with properties calculated at the PBE-GGA level.

Properties
Its relative energy among the computed polymorphs is 535 meV/atom. The value obtained for the raw formation energy is 0.87 eV per formula unit. Its density of states at the Fermi level is 2.41 states/eV/cell.

Cell: 3.8035 4.6931 8.6474 Å, 90.00 90.00 90.00°
With the nearest neighbours (Å) after each atom.
Space group Cmm2 (No. 35)
Symmetry-distinct sites (fractional):
Mg 0.0000 0.0000 0.0000 [2 per cell]  4 As 2.76-3.08, 2 Si 2.84, 4 Mg 3.02
Si 0.0000 0.5000 0.7559 [2 per cell]  2 As 2.54, 2 Mg 2.84
As 0.0000 0.0000 0.5613 [2 per cell]  2 Si 2.54
As 0.0000 0.5000 0.2313 [2 per cell]  4 Mg 2.76-3.08, 4 As 3.02

# 8
Below is an optimized crystal structure of EuDy2Lu, with properties calculated at the PBE-GGA level.

Properties
Its relative energy among the computed polymorphs is 0 meV/atom. Its density of states at the Fermi level is 5.17 states/eV/cell.

Cell: 3.5684 3.5684 10.2697 Å, 90.00 90.00 90.00°
With the nearest neighbours (Å) after each atom.
Space group P4/mmm (No. 123)
Symmetry-distinct sites (fractional):
Eu 0.0000 0.0000 0.0000 [1 per cell]  4 Eu 3.57, 8 Dy 3.73
Dy 0.5000 0.5000 0.2678 [2 per cell]  4 Lu 3.47, 4 Dy 3.57, 4 Eu 3.73
Lu 0.0000 0.0000 0.5000 [1 per cell]  8 Dy 3.47, 4 Lu 3.57